{"formula": "LaMn2F", "functional": "PBE with a Hubbard U", "state": "relaxed", "lattice_angstrom": [[-4.216, 0.958, 4.463], [4.258, -1.363, 4.316], [1.475, 5.094, 4.626]], "species": ["La", "La", "Mn", "Mn", "Mn", "Mn", "F", "F"], "fractional_positions": [[0.750, 0.250, 0.500], [0.000, 0.000, 0.000], [0.375, 0.625, 0.250], [0.375, 0.125, 0.250], [0.875, 0.625, 0.750], [0.375, 0.625, 0.750], [0.500, 0.500, 0.000], [0.250, 0.750, 0.500]], "sg": "I4_1/amd, No. 141", "de_polymorph_ev_per_atom": 0.000, "dos_at_fermi_per_ev_cell": 10.5}